VASP calculation (PBE) on Na2Cd3Sn after structural relaxation.

The space group is C2/m (No. 12) and the conventional cell measures 10.207, 5.951 and 6.234 Å, with angles of 90.00, 123.33 and 90.00 degrees. The inequivalent atoms are Na at (0.126, 0.000, 0.379), Cd at (0.000, 0.500, 0.000), Cd at (0.250, 0.250, 0.000) and Sn at (0.000, 0.500, 0.500).

Its total energy is -20.2 eV per cell. Its mass density is 5.3 g/cm3. Its formation energy is -0.1149 eV/atom. For the distance to the lowest polymorph of the same formula, the calculation gives 0.016 eV/atom.

=====

VASP calculation (PBE) on Na3Cd3Sn8 after structural relaxation.

The space group is Immm (No. 71) and the conventional cell measures 4.899, 11.697 and 13.632 Å, with angles of 90.00, 90.00 and 90.00 degrees. The inequivalent atoms are Na at (0.000, 0.000, 0.000), Na at (0.000, 0.000, 0.277), Cd at (0.000, 0.138, 0.500), Cd at (0.000, 0.500, 0.000), Sn at (0.000, 0.294, 0.152) and Sn at (0.000, 0.361, 0.375).

Its total energy is -79.9 eV per cell. Its mass density is 5.8 g/cm3. Its formation energy is -0.0859 eV/atom.

=====

VASP calculation (PBE) on NaCd4Sn after structural relaxation.

The space group is F-43m (No. 216) and the conventional cell measures 8.449, 8.449 and 8.449 Å, with angles of 90.00, 90.00 and 90.00 degrees. The inequivalent atoms are Na at (0.000, 0.000, 0.000), Cd at (0.125, 0.125, 0.625) and Sn at (0.250, 0.250, 0.250).

Its total energy is -36.6 eV per cell. Its mass density is 6.5 g/cm3. Its formation energy is -0.0293 eV/atom. For the distance to the lowest polymorph of the same formula, the calculation gives 0.024 eV/atom.

=====

VASP calculation (PBE) on NaCd2Sn after structural relaxation.

The space group is P4/mmm (No. 123) and the conventional cell measures 3.992, 3.992 and 6.304 Å, with angles of 90.00, 90.00 and 90.00 degrees. The inequivalent atoms are Na at (0.000, 0.000, 0.000), Cd at (0.500, 0.500, 0.249) and Sn at (0.000, 0.000, 0.500).

Its total energy is -7.3 eV per cell. Its mass density is 6.1 g/cm3. Its formation energy is -0.0456 eV/atom.

=====

Question: Look up the mass density of the fourth one.
Answer: 6.1 g/cm3

=====

Question: Which of these has the highest total energy?
Answer: NaCd2Sn